Entry from the Alexandria database: crystalline Pm7Y4Ho at its relaxed geometry (PBE).

Summary:
The space-group type is No. 12. The formation enthalpy at 0 K is 0.25 eV/atom. As for the raw total energy: -60.63 eV/cell. The value obtained for the energy above the most stable polymorph in this dataset is 252 meV/atom. For the density, the calculation gives 6.19 g/cm3.

Cell lengths 6.0311, 11.7046, 6.7547 Å; angles 83.99, 63.48, 75.07 degrees
Fractional coordinates of all 12 atoms:
Y: 0.2407 0.3215 0.1972
Y: 0.3576 0.7764 0.5084
Y: 0.7593 0.6785 0.8028
Y: 0.6424 0.2236 0.4916
Ho: 0.0000 0.0000 0.0000
Pm: 0.3695 0.5004 0.7606
Pm: 0.7892 0.9221 0.4994
Pm: 0.9372 0.3177 0.8080
Pm: 0.6305 0.4996 0.2394
Pm: 0.0628 0.6823 0.1920
Pm: 0.2108 0.0779 0.5006
Pm: 0.5000 0.0000 0.0000

Entry from the Alexandria database: crystalline Pm5Y2Ho4 at its relaxed geometry (PBE).

Summary:
The space-group type is No. 12. The formation enthalpy at 0 K is 0.18 eV/atom. As for the raw total energy: -53.00 eV/cell. The value obtained for the energy above the most stable polymorph in this dataset is 15 meV/atom. For the density, the calculation gives 6.98 g/cm3.

Cell lengths 6.9053, 6.9053, 9.6537 Å; angles 70.34, 70.35, 61.25 degrees
Fractional coordinates of all 11 atoms:
Y: 0.1300 0.1300 0.8476
Y: 0.8700 0.8700 0.1524
Pm: 0.6287 0.1630 0.8157
Pm: 0.8370 0.3713 0.1843
Pm: 0.1630 0.6287 0.8157
Pm: 0.0000 0.0000 0.5000
Pm: 0.3713 0.8370 0.1843
Ho: 0.6519 0.6519 0.5030
Ho: 0.3481 0.3481 0.4970
Ho: 0.6421 0.6421 0.8533
Ho: 0.3579 0.3579 0.1467

Entry from the Alexandria database: crystalline Pm4Y4Ho5 at its relaxed geometry (PBE).

Summary:
The space-group type is No. 87. The formation enthalpy at 0 K is 0.02 eV/atom. As for the raw total energy: -67.50 eV/cell. For the density, the calculation gives 6.94 g/cm3.

Cell lengths 5.0467, 9.4751, 9.4752 Å; angles 85.93, 74.56, 74.55 degrees
Fractional coordinates of all 13 atoms:
Y: 0.7708 0.3821 0.0763
Y: 0.8471 0.9237 0.3821
Y: 0.1529 0.0763 0.6179
Y: 0.2292 0.6179 0.9237
Ho: 0.4615 0.2283 0.8487
Ho: 0.0000 0.0000 0.0000
Ho: 0.3102 0.1513 0.2283
Ho: 0.6898 0.8487 0.7717
Ho: 0.5385 0.7717 0.1513
Pm: 0.3836 0.6941 0.5386
Pm: 0.6164 0.3059 0.4614
Pm: 0.9222 0.4614 0.6941
Pm: 0.0778 0.5386 0.3059

Entry from the Alexandria database: crystalline Pm3Y5Ho4 at its relaxed geometry (PBE).

Summary:
The space-group type is No. 12. The formation enthalpy at 0 K is 0.24 eV/atom. As for the raw total energy: -62.06 eV/cell. The value obtained for the energy above the most stable polymorph in this dataset is 216 meV/atom. For the density, the calculation gives 6.46 g/cm3.

Cell lengths 5.9167, 8.5708, 9.6719 Å; angles 106.10, 72.19, 69.81 degrees
Each line ends with the local moment (μB).
Fractional coordinates of all 12 atoms:
Y: 0.2156 0.4569 0.1118  0.01
Y: 0.7844 0.5431 0.8882  0.01
Y: 0.3747 0.0507 0.1999  0.00
Y: 0.6253 0.9493 0.8001  0.00
Y: 0.5000 0.5000 0.5000  0.09
Ho: 0.1399 0.7787 0.9415  0.00
Ho: 0.1664 0.0443 0.6228  0.00
Ho: 0.8336 0.9557 0.3772  0.00
Ho: 0.8601 0.2213 0.0585  0.00
Pm: 0.5209 0.6870 0.2712  0.00
Pm: 0.0000 0.5000 0.5000  0.10
Pm: 0.4791 0.3130 0.7288  0.00

Entry from the Alexandria database: crystalline Pm16Y6Ho7 at its relaxed geometry (PBE).

Summary:
The space-group type is No. 225. The formation enthalpy at 0 K is 0.20 eV/atom. As for the raw total energy: -141.00 eV/cell. For the density, the calculation gives 6.59 g/cm3.

Cell lengths 11.2613, 11.2613, 11.2613 Å; angles 60.00, 60.00, 60.00 degrees
Fractional coordinates of all 29 atoms:
Ho: 0.5000 0.5000 0.0000
Ho: 0.5000 0.0000 0.5000
Ho: 0.0000 0.5000 0.5000
Ho: 0.5000 0.0000 0.0000
Ho: 0.0000 0.0000 0.5000
Ho: 0.0000 0.5000 0.0000
Ho: 0.0000 0.0000 0.0000
Y: 0.2724 0.2724 0.7276
Y: 0.2724 0.7276 0.2724
Y: 0.2724 0.7276 0.7276
Y: 0.7276 0.2724 0.7276
Y: 0.7276 0.7276 0.2724
Y: 0.7276 0.2724 0.2724
Pm: 0.6510 0.6510 0.0469
Pm: 0.1239 0.1239 0.1239
Pm: 0.8761 0.3717 0.8761
Pm: 0.8761 0.8761 0.3717
Pm: 0.1239 0.1239 0.6283
Pm: 0.3490 0.3490 0.9531
Pm: 0.6283 0.1239 0.1239
Pm: 0.9531 0.3490 0.3490
Pm: 0.3717 0.8761 0.8761
Pm: 0.8761 0.8761 0.8761
Pm: 0.6510 0.6510 0.6510
Pm: 0.0469 0.6510 0.6510
Pm: 0.3490 0.3490 0.3490
Pm: 0.1239 0.6283 0.1239
Pm: 0.6510 0.0469 0.6510
Pm: 0.3490 0.9531 0.3490

Entry from the Alexandria database: crystalline Pm6YHo2 at its relaxed geometry (PBE).

Summary:
The space-group type is No. 15. The formation enthalpy at 0 K is 0.21 eV/atom. As for the raw total energy: -84.54 eV/cell. The value obtained for the energy above the most stable polymorph in this dataset is 78 meV/atom. For the density, the calculation gives 7.04 g/cm3.

Cell lengths 6.2897, 10.8575, 10.8575 Å; angles 85.43, 65.33, 65.33 degrees
Fractional coordinates of all 18 atoms:
Ho: 0.7029 0.7658 0.6297
Ho: 0.2971 0.2342 0.3703
Ho: 0.2029 0.6297 0.7658
Ho: 0.7971 0.3703 0.2342
Pm: 0.7651 0.9377 0.8493
Pm: 0.7349 0.1507 0.0623
Pm: 0.8168 0.9899 0.4229
Pm: 0.0970 0.5628 0.3253
Pm: 0.3168 0.4229 0.9899
Pm: 0.2349 0.0623 0.1507
Pm: 0.1832 0.0101 0.5771
Pm: 0.9030 0.4372 0.6747
Pm: 0.5970 0.3253 0.5628
Pm: 0.4030 0.6747 0.4372
Pm: 0.2651 0.8493 0.9377
Pm: 0.6832 0.5771 0.0101
Y: 0.7500 0.8201 0.1799
Y: 0.2500 0.1799 0.8201

Entry from the Alexandria database: crystalline Pm4Y6Ho at its relaxed geometry (PBE).

Summary:
The space-group type is No. 187. The formation enthalpy at 0 K is 0.16 eV/atom. As for the raw total energy: -60.59 eV/cell. The value obtained for the energy above the most stable polymorph in this dataset is 45 meV/atom. For the density, the calculation gives 5.68 g/cm3.

Cell lengths 3.5901, 10.9659, 10.9659 Å; angles 120.00, 90.00, 90.00 degrees
Fractional coordinates of all 11 atoms:
Y: 0.0000 0.5217 0.4783
Y: 0.5000 0.1833 0.3666
Y: 0.5000 0.6334 0.8167
Y: 0.0000 0.9567 0.4783
Y: 0.5000 0.1833 0.8167
Y: 0.0000 0.5217 0.0433
Pm: 0.5000 0.8413 0.1587
Pm: 0.5000 0.3174 0.1587
Pm: 0.5000 0.8413 0.6826
Pm: 0.0000 0.3333 0.6667
Ho: 0.0000 0.0000 0.0000

Entry from the Alexandria database: crystalline Pm7Y2Ho3 at its relaxed geometry (PBE).

Summary:
The space-group type is No. 65. The formation enthalpy at 0 K is 0.15 eV/atom. As for the raw total energy: -58.17 eV/cell. The value obtained for the energy above the most stable polymorph in this dataset is 75 meV/atom. For the density, the calculation gives 6.88 g/cm3.

Cell lengths 3.6193, 5.9144, 19.2564 Å; angles 98.83, 90.00, 90.00 degrees
Fractional coordinates of all 12 atoms:
Pm: 0.0000 0.7307 0.4615
Pm: 0.5000 0.9082 0.8164
Pm: 0.0000 0.5730 0.1460
Pm: 0.0000 0.2693 0.5385
Pm: 0.0000 0.4270 0.8540
Pm: 0.0000 0.0000 0.0000
Pm: 0.5000 0.0918 0.1836
Ho: 0.5000 0.6511 0.3023
Ho: 0.5000 0.5000 0.0000
Ho: 0.5000 0.3489 0.6977
Y: 0.0000 0.8229 0.6459
Y: 0.0000 0.1771 0.3541

- What is the formation enthalpy at 0 K in the third record?
  0.02 eV/atom